[1]
BH6Pd12 | PBE | relaxed

As for the total moment: 0.000 μB per formula unit. The final energy is -4.72 eV per atom. The crystal system is trigonal.

The space group is R-3 (No. 148, hexagonal axes) and the conventional cell measures 8.8566, 8.8566 and 9.5969 Å, with angles of 90.00, 90.00 and 120.00 degrees. The inequivalent atoms are B at (0.0000, 0.0000, 0.0000), H at (0.0074, 0.2312, 0.3260), Pd at (0.0010, 0.1927, 0.1236) and Pd at (0.0014, 0.8168, 0.3741).

***

[2]
BHPd6 | PBE | relaxed

As for the total moment: 0.000 μB per formula unit. The final energy is -5.32 eV per atom. The crystal system is trigonal.

The space group is R-3 (No. 148, hexagonal axes) and the conventional cell measures 4.9705, 4.9705 and 14.4985 Å, with angles of 90.00, 90.00 and 120.00 degrees. The inequivalent atoms are B at (0.0000, 0.0000, 0.0000), H at (0.0000, 0.0000, 0.5000) and Pd at (0.0032, 0.6632, 0.9151).

***

[3]
B2HPd8 | PBE | relaxed

As for the total moment: 0.000 μB per formula unit. The final energy is -5.47 eV per atom. The crystal system is monoclinic.

The space group is C2/c (No. 15) and the conventional cell measures 12.0039, 7.8631 and 8.5189 Å, with angles of 90.00, 133.95 and 90.00 degrees. The inequivalent atoms are B at (0.1233, 0.2447, 0.0154), H at (0.0000, 0.3903, 0.2500), Pd at (0.1233, 0.0128, 0.5032), Pd at (0.1249, 0.2494, 0.7624), Pd at (0.1284, 0.2468, 0.2600) and Pd at (0.1305, 0.4930, 0.5158).

***

[4]
BHPd3 | PBE | relaxed

As for the total moment: 0.000 μB per formula unit. The final energy is -5.30 eV per atom. The crystal system is triclinic.

The space group is P-1 (No. 2) and the conventional cell measures 3.1634, 5.8891 and 6.5815 Å, with angles of 79.52, 76.16 and 89.87 degrees. The inequivalent atoms are B at (0.1618, 0.3149, 0.1764), H at (0.4234, 0.2062, 0.6536), Pd at (0.0025, 0.7514, 0.4950), Pd at (0.3306, 0.9176, 0.8373) and Pd at (0.3338, 0.4297, 0.8344).

***

Which value of final energy does entry 2 give?
-5.32 eV per atom

***

What is the formula in the third record?
B2HPd8

***

Among the records above, which one has the highest final energy?
BH6Pd12

***

What is the total moment in the first record?
0.000 μB per formula unit